Material: VRh2O6
Method: DFT, PBE+U
State: optimized geometry

Calculated values
For the total moment, the calculation gives 0.688 μB per formula unit. The value obtained for the theoretical density is 6.2 g cm⁻³. Its crystal system is trigonal. The relative energy among the computed polymorphs is 0.0 meV per atom.

Unit cell a=4.436 b=8.578 c=8.578 alpha=120.00 beta=90.00 gamma=90.00
Last column: magnetic moment on the atom in μB.
Atoms (fractional coordinates):
1 O 0.749 0.878 0.451  0.07
2 O 0.733 0.236 0.781  0.06
3 O 0.236 0.100 0.213  0.06
4 V 0.503 0.667 0.333  -0.13
5 O 0.764 0.213 0.100  0.06
6 V 0.000 0.000 0.000  -0.11
7 O 0.749 0.549 0.427  0.07
8 Rh 0.500 0.000 0.679  0.18
9 Rh 0.500 0.679 0.000  0.18
10 O 0.267 0.781 0.236  0.06
11 O 0.251 0.451 0.878  0.07
12 Rh 0.000 0.346 0.000  0.21
13 O 0.251 0.122 0.573  0.07
14 O 0.267 0.764 0.545  0.06
15 O 0.749 0.573 0.122  0.07
16 V 0.497 0.333 0.667  -0.13
17 O 0.236 0.787 0.887  0.06
18 O 0.764 0.887 0.787  0.06
19 O 0.267 0.455 0.219  0.06
20 Rh 0.000 0.654 0.654  0.21
21 Rh 0.500 0.321 0.321  0.18
22 O 0.733 0.219 0.455  0.06
23 O 0.236 0.113 0.900  0.06
24 O 0.733 0.545 0.764  0.06
25 O 0.764 0.900 0.113  0.06
26 O 0.251 0.427 0.549  0.07
27 Rh 0.000 0.000 0.346  0.21